A relaxed structure of KMn2TlCl6. Source: Alexandria via LeMat-Bulk, functional GGA-PBE.

Calculated values
- Raw formation energy: -1.26 eV/atom
- Raw total energy: -0.3341 Ry/atom

CIF file:
```
data_KMn2TlCl6
_space_group_name_H-M_alt 'P 1'
_space_group_IT_number 1
_cell_length_a 9.524
_cell_length_b 9.524
_cell_length_c 7.457
_cell_angle_alpha 99.83
_cell_angle_beta 99.83
_cell_angle_gamma 84.88
loop_
_space_group_symop_operation_xyz
'x,y,z'
loop_
_atom_site_label
_atom_site_fract_x
_atom_site_fract_y
_atom_site_fract_z
K1 0.097 0.903 0.750
K2 0.903 0.097 0.250
Mn1 0.198 0.377 0.740
Mn2 0.377 0.198 0.240
Mn3 0.623 0.802 0.760
Mn4 0.802 0.623 0.260
Tl1 0.306 0.694 0.250
Tl2 0.694 0.306 0.750
Cl1 0.018 0.216 0.661
Cl2 0.117 0.603 0.860
Cl3 0.216 0.018 0.161
Cl4 0.307 0.392 0.473
Cl5 0.392 0.307 0.973
Cl6 0.397 0.883 0.640
Cl7 0.603 0.117 0.360
Cl8 0.608 0.693 0.027
Cl9 0.693 0.608 0.527
Cl10 0.784 0.982 0.839
Cl11 0.883 0.397 0.140
Cl12 0.982 0.784 0.339
```